Run one
DFT (PBE-GGA) results for an optimized crystal structure of BeZn2P.

Properties
Total moment, Bohr magnetons per cell: 0.00

a b c (Å): 8.450 8.450 3.954
angles (deg): 90.00 90.00 90.00
Space group I-42d (No. 122)
Unique sites:
1 Be 0.000 0.000 0.000 (multiplicity 4)
2 Zn 0.159 0.250 0.625 (multiplicity 8)
3 P 0.000 0.000 0.500 (multiplicity 4)



Run two
DFT (PBE-GGA) results for an optimized crystal structure of BeZn2P.

Properties
Total moment, Bohr magnetons per cell: 0.00

a b c (Å): 8.489 2.705 5.681
angles (deg): 90.00 104.83 90.00
Space group Cm (No. 8)
Unique sites:
1 Be 0.000 0.000 0.000 (multiplicity 2)
2 Zn 0.118 0.500 0.373 (multiplicity 2)
3 Zn 0.308 0.000 0.155 (multiplicity 2)
4 P 0.120 0.500 0.788 (multiplicity 2)



run two ends up most stable, edging out the next structure by 79 meV/atom.